SrMg2CoO4 | GGA+U | optimized geometry

Output
The volume comes out at 12.2 A^3/atom. The calculation puts the total moment at 0.38 μB/atom. For the uncorrected energy, the calculation gives -5.877 eV per atom.

a b c (Å): 5.6959 5.6959 11.0739
angles (deg): 90.00 90.00 147.09
Fractional positions:
Sr (0.1165, 0.8835, 0.7500)
Sr (0.8835, 0.1165, 0.2500)
Mg (0.3703, 0.6297, 0.5361)
Mg (0.3703, 0.6297, 0.9639)
Mg (0.6297, 0.3703, 0.0361)
Mg (0.6297, 0.3703, 0.4639)
Co (0.1489, 0.8511, 0.2500)
Co (0.8511, 0.1489, 0.7500)
O (0.0000, 0.0000, 0.0000)
O (0.0000, 0.0000, 0.5000)
O (0.2556, 0.7444, 0.1098)
O (0.2556, 0.7444, 0.3902)
O (0.4490, 0.5510, 0.7500)
O (0.5510, 0.4490, 0.2500)
O (0.7444, 0.2556, 0.6098)
O (0.7444, 0.2556, 0.8902)